Arrangement 1

{
  "formula": "PmCl4",
  "functional": "PBE-GGA",
  "state": "relaxed",
  "n_ef_per_ev_cell": 0.00,
  "volume_a3_per_cell": 402.9,
  "lattice_angstrom": [[6.466, -3.722, 0.000], [6.466, 3.722, 0.000], [-0.578, 0.000, 8.370]],
  "species": ["Pm", "Pm", "Cl", "Cl", "Cl", "Cl", "Cl", "Cl", "Cl", "Cl"],
  "fractional_positions": [[0.166, 0.166, 0.001], [0.834, 0.834, 0.999], [0.005, 0.510, 0.202], [0.008, 0.008, 0.202], [0.438, 0.438, 0.565], [0.490, 0.995, 0.798], [0.510, 0.005, 0.202], [0.562, 0.562, 0.435], [0.992, 0.992, 0.798], [0.995, 0.490, 0.798]]
}

=====

Arrangement 2

{
  "formula": "PmCl4",
  "functional": "PBE-GGA",
  "state": "relaxed",
  "n_ef_per_ev_cell": 8.71,
  "volume_a3_per_cell": 161.8,
  "lattice_angstrom": [[5.449, 0.000, 0.000], [0.000, 5.449, 0.000], [0.000, 0.000, 5.449]],
  "species": ["Pm", "Cl", "Cl", "Cl", "Cl"],
  "fractional_positions": [[0.000, 0.000, 0.000], [0.000, 0.000, 0.500], [0.000, 0.500, 0.000], [0.500, 0.000, 0.000], [0.500, 0.500, 0.500]]
}

=====

arrangement 1 ends up most stable, edging out the next structure by 28.2 kJ/mol of atoms.

=====

Arrangement 1

{
  "formula": "PmPrCl",
  "functional": "PBE-GGA",
  "state": "relaxed",
  "n_ef_per_ev_cell": 9.28,
  "volume_a3_per_cell": 383.3,
  "lattice_angstrom": [[12.622, -1.905, 0.000], [12.622, 1.905, 0.000], [-0.113, 0.000, 7.972]],
  "species": ["Pm", "Pm", "Pm", "Pm", "Pr", "Pr", "Pr", "Pr", "Cl", "Cl", "Cl", "Cl"],
  "fractional_positions": [[0.200, 0.200, 0.420], [0.208, 0.208, 0.849], [0.792, 0.792, 0.151], [0.800, 0.800, 0.580], [0.372, 0.372, 0.859], [0.412, 0.412, 0.390], [0.588, 0.588, 0.610], [0.628, 0.628, 0.141], [0.079, 0.079, 0.899], [0.474, 0.474, 0.693], [0.526, 0.526, 0.307], [0.921, 0.921, 0.101]]
}

=====

Arrangement 2

{
  "formula": "PmPrCl",
  "functional": "PBE-GGA",
  "state": "relaxed",
  "n_ef_per_ev_cell": 3.62,
  "volume_a3_per_cell": 91.9,
  "lattice_angstrom": [[3.802, 0.000, 0.000], [-1.901, 3.293, 0.000], [0.000, 0.000, 7.336]],
  "species": ["Pm", "Pr", "Cl"],
  "fractional_positions": [[0.000, 0.000, 0.000], [0.667, 0.333, 0.389], [0.333, 0.667, 0.703]]
}

=====

arrangement 2 ends up most stable, edging out the next structure by 2.3 kJ/mol of atoms.

=====

Arrangement 1

{
  "formula": "PmPrCl2",
  "functional": "PBE-GGA",
  "state": "relaxed",
  "n_ef_per_ev_cell": 10.20,
  "volume_a3_per_cell": 338.3,
  "lattice_angstrom": [[3.642, 0.000, 0.000], [-1.821, 3.154, 0.000], [0.000, 0.000, 29.455]],
  "species": ["Pm", "Pm", "Pm", "Pr", "Pr", "Pr", "Cl", "Cl", "Cl", "Cl", "Cl", "Cl"],
  "fractional_positions": [[0.000, 0.000, 0.000], [0.333, 0.667, 0.667], [0.667, 0.333, 0.333], [0.000, 0.000, 0.500], [0.333, 0.667, 0.167], [0.667, 0.333, 0.833], [0.000, 0.000, 0.402], [0.000, 0.000, 0.598], [0.333, 0.667, 0.069], [0.333, 0.667, 0.265], [0.667, 0.333, 0.735], [0.667, 0.333, 0.931]]
}

=====

Arrangement 2

{
  "formula": "PmPrCl2",
  "functional": "PBE-GGA",
  "state": "relaxed",
  "n_ef_per_ev_cell": 3.01,
  "volume_a3_per_cell": 299.2,
  "lattice_angstrom": [[3.598, 0.000, 0.000], [-1.799, 3.116, 0.000], [0.000, 0.000, 26.677]],
  "species": ["Pm", "Pm", "Pm", "Pr", "Pr", "Pr", "Cl", "Cl", "Cl", "Cl", "Cl", "Cl"],
  "fractional_positions": [[0.000, 0.000, 0.000], [0.333, 0.667, 0.667], [0.667, 0.333, 0.333], [0.000, 0.000, 0.165], [0.333, 0.667, 0.832], [0.667, 0.333, 0.498], [0.000, 0.000, 0.415], [0.000, 0.000, 0.584], [0.333, 0.667, 0.081], [0.333, 0.667, 0.251], [0.667, 0.333, 0.748], [0.667, 0.333, 0.918]]
}

=====

arrangement 2 ends up most stable, edging out the next structure by 3.7 kJ/mol of atoms.

=====

Arrangement 1

{
  "formula": "PmPrSiCl",
  "functional": "PBE-GGA",
  "state": "relaxed",
  "n_ef_per_ev_cell": 3.05,
  "volume_a3_per_cell": 252.3,
  "lattice_angstrom": [[5.835, 0.000, 0.000], [0.000, 4.966, 0.000], [0.000, 0.000, 8.708]],
  "species": ["Pm", "Pm", "Pr", "Pr", "Si", "Si", "Cl", "Cl"],
  "fractional_positions": [[0.000, 0.000, 0.000], [0.000, 0.500, 0.500], [0.500, 0.000, 0.331], [0.500, 0.500, 0.831], [0.000, 0.000, 0.331], [0.000, 0.500, 0.831], [0.500, 0.000, 0.000], [0.500, 0.500, 0.500]]
}

=====

Arrangement 2

{
  "formula": "PmPrSiCl",
  "functional": "PBE-GGA",
  "state": "relaxed",
  "n_ef_per_ev_cell": 9.11,
  "volume_a3_per_cell": 389.6,
  "lattice_angstrom": [[7.304, 0.000, 0.000], [0.000, 7.304, 0.000], [0.000, 0.000, 7.304]],
  "species": ["Pm", "Pm", "Pm", "Pm", "Pr", "Pr", "Pr", "Pr", "Si", "Si", "Si", "Si", "Cl", "Cl", "Cl", "Cl"],
  "fractional_positions": [[0.000, 0.000, 0.000], [0.000, 0.500, 0.500], [0.500, 0.000, 0.500], [0.500, 0.500, 0.000], [0.000, 0.000, 0.500], [0.000, 0.500, 0.000], [0.500, 0.000, 0.000], [0.500, 0.500, 0.500], [0.250, 0.250, 0.750], [0.250, 0.750, 0.250], [0.750, 0.250, 0.250], [0.750, 0.750, 0.750], [0.250, 0.250, 0.250], [0.250, 0.750, 0.750], [0.750, 0.250, 0.750], [0.750, 0.750, 0.250]]
}

=====

arrangement 2 ends up most stable, edging out the next structure by 5.8 kJ/mol of atoms.

=====

Arrangement 1

{
  "formula": "Pm2PtCl",
  "functional": "PBE-GGA",
  "state": "relaxed",
  "n_ef_per_ev_cell": 6.38,
  "volume_a3_per_cell": 221.8,
  "lattice_angstrom": [[7.207, 0.000, 0.000], [0.000, 4.163, 0.000], [-2.387, 0.000, 7.391]],
  "species": ["Pm", "Pm", "Pm", "Pm", "Pt", "Pt", "Cl", "Cl"],
  "fractional_positions": [[0.236, 0.000, 0.210], [0.264, 0.500, 0.790], [0.736, 0.500, 0.210], [0.764, 0.000, 0.790], [0.000, 0.500, 0.000], [0.500, 0.000, 0.000], [0.000, 0.000, 0.500], [0.500, 0.500, 0.500]]
}

=====

Arrangement 2

{
  "formula": "Pm2PtCl",
  "functional": "PBE-GGA",
  "state": "relaxed",
  "n_ef_per_ev_cell": 9.56,
  "volume_a3_per_cell": 337.6,
  "lattice_angstrom": [[4.124, 0.000, 0.000], [-2.062, 3.572, 0.000], [0.000, 0.000, 22.920]],
  "species": ["Pm", "Pm", "Pm", "Pm", "Pm", "Pm", "Pt", "Pt", "Pt", "Cl", "Cl", "Cl"],
  "fractional_positions": [[0.000, 0.000, 0.000], [0.000, 0.000, 0.196], [0.333, 0.667, 0.667], [0.333, 0.667, 0.863], [0.667, 0.333, 0.333], [0.667, 0.333, 0.530], [0.000, 0.000, 0.598], [0.333, 0.667, 0.265], [0.667, 0.333, 0.932], [0.000, 0.000, 0.428], [0.333, 0.667, 0.094], [0.667, 0.333, 0.761]]
}

=====

Arrangement 3

{
  "formula": "Pm2PtCl",
  "functional": "PBE-GGA",
  "state": "relaxed",
  "n_ef_per_ev_cell": 3.86,
  "volume_a3_per_cell": 97.0,
  "lattice_angstrom": [[3.458, 0.000, 0.000], [0.000, 3.458, 0.000], [0.000, 0.000, 8.109]],
  "species": ["Pm", "Pm", "Pt", "Cl"],
  "fractional_positions": [[0.000, 0.000, 0.222], [0.000, 0.000, 0.778], [0.500, 0.500, 0.000], [0.500, 0.500, 0.500]]
}

=====

arrangement 1 ends up most stable, edging out the next structure by 3.3 kJ/mol of atoms.

=====

Arrangement 1

{
  "formula": "Pm2SCl",
  "functional": "PBE-GGA",
  "state": "relaxed",
  "n_ef_per_ev_cell": 4.22,
  "volume_a3_per_cell": 290.3,
  "lattice_angstrom": [[3.944, 0.000, 0.000], [-1.972, 3.416, 0.000], [0.000, 0.000, 21.550]],
  "species": ["Pm", "Pm", "Pm", "Pm", "Pm", "Pm", "S", "S", "S", "Cl", "Cl", "Cl"],
  "fractional_positions": [[0.000, 0.000, 0.237], [0.000, 0.000, 0.763], [0.333, 0.667, 0.429], [0.333, 0.667, 0.904], [0.667, 0.333, 0.096], [0.667, 0.333, 0.571], [0.000, 0.000, 0.500], [0.333, 0.667, 0.167], [0.667, 0.333, 0.833], [0.000, 0.000, 0.000], [0.333, 0.667, 0.667], [0.667, 0.333, 0.333]]
}

=====

Arrangement 2

{
  "formula": "Pm2SCl",
  "functional": "PBE-GGA",
  "state": "relaxed",
  "n_ef_per_ev_cell": 7.06,
  "volume_a3_per_cell": 292.4,
  "lattice_angstrom": [[3.869, 0.000, 0.000], [-1.935, 3.351, 0.000], [0.000, 0.000, 22.554]],
  "species": ["Pm", "Pm", "Pm", "Pm", "Pm", "Pm", "S", "S", "S", "Cl", "Cl", "Cl"],
  "fractional_positions": [[0.000, 0.000, 0.000], [0.000, 0.000, 0.191], [0.333, 0.667, 0.667], [0.333, 0.667, 0.858], [0.667, 0.333, 0.333], [0.667, 0.333, 0.524], [0.000, 0.000, 0.594], [0.333, 0.667, 0.261], [0.667, 0.333, 0.928], [0.000, 0.000, 0.427], [0.333, 0.667, 0.094], [0.667, 0.333, 0.760]]
}

=====

arrangement 1 ends up most stable, edging out the next structure by 2.6 kJ/mol of atoms.

=====

Arrangement 1

{
  "formula": "Pm2SbCl",
  "functional": "PBE-GGA",
  "state": "relaxed",
  "n_ef_per_ev_cell": 4.37,
  "volume_a3_per_cell": 253.7,
  "lattice_angstrom": [[4.322, 0.000, 0.000], [-0.004, 7.650, 0.000], [-0.009, -2.510, 7.672]],
  "species": ["Pm", "Pm", "Pm", "Pm", "Sb", "Sb", "Cl", "Cl"],
  "fractional_positions": [[0.000, 0.000, 0.000], [0.001, 0.804, 0.448], [0.366, 0.500, 0.000], [0.367, 0.304, 0.449], [0.492, 0.902, 0.225], [0.875, 0.402, 0.225], [0.160, 0.158, 0.724], [0.211, 0.658, 0.723]]
}

=====

Arrangement 2

{
  "formula": "Pm2SbCl",
  "functional": "PBE-GGA",
  "state": "relaxed",
  "n_ef_per_ev_cell": 6.42,
  "volume_a3_per_cell": 354.4,
  "lattice_angstrom": [[4.250, 0.000, 0.000], [-2.125, 3.681, 0.000], [0.000, 0.000, 22.654]],
  "species": ["Pm", "Pm", "Pm", "Pm", "Pm", "Pm", "Sb", "Sb", "Sb", "Cl", "Cl", "Cl"],
  "fractional_positions": [[0.000, 0.000, 0.000], [0.000, 0.000, 0.176], [0.333, 0.667, 0.667], [0.333, 0.667, 0.842], [0.667, 0.333, 0.333], [0.667, 0.333, 0.509], [0.000, 0.000, 0.589], [0.333, 0.667, 0.255], [0.667, 0.333, 0.922], [0.000, 0.000, 0.419], [0.333, 0.667, 0.085], [0.667, 0.333, 0.752]]
}

=====

Arrangement 3

{
  "formula": "Pm2SbCl",
  "functional": "PBE-GGA",
  "state": "relaxed",
  "n_ef_per_ev_cell": 4.41,
  "volume_a3_per_cell": 479.0,
  "lattice_angstrom": [[4.679, 0.000, 0.000], [-2.339, 4.052, 0.000], [0.000, 0.000, 25.269]],
  "species": ["Pm", "Pm", "Pm", "Pm", "Pm", "Pm", "Sb", "Sb", "Sb", "Cl", "Cl", "Cl"],
  "fractional_positions": [[0.000, 0.000, 0.109], [0.000, 0.000, 0.891], [0.333, 0.667, 0.558], [0.333, 0.667, 0.775], [0.667, 0.333, 0.225], [0.667, 0.333, 0.442], [0.000, 0.000, 0.500], [0.333, 0.667, 0.167], [0.667, 0.333, 0.833], [0.000, 0.000, 0.000], [0.333, 0.667, 0.667], [0.667, 0.333, 0.333]]
}

=====

Arrangement 4

{
  "formula": "Pm2SbCl",
  "functional": "PBE-GGA",
  "state": "relaxed",
  "n_ef_per_ev_cell": 4.06,
  "volume_a3_per_cell": 106.3,
  "lattice_angstrom": [[5.278, 0.000, 0.000], [0.000, 5.278, 0.000], [0.000, 0.000, 3.816]],
  "species": ["Pm", "Pm", "Sb", "Cl"],
  "fractional_positions": [[0.000, 0.500, 0.000], [0.500, 0.000, 0.000], [0.000, 0.000, 0.500], [0.500, 0.500, 0.500]]
}

=====

arrangement 2 ends up most stable, edging out the next structure by 1.7 kJ/mol of atoms.

=====

Arrangement 1

{
  "formula": "Pm2SeCl",
  "functional": "PBE-GGA",
  "state": "relaxed",
  "n_ef_per_ev_cell": 14.06,
  "volume_a3_per_cell": 369.4,
  "lattice_angstrom": [[7.175, 0.000, 0.000], [0.000, 7.175, 0.000], [0.000, 0.000, 7.175]],
  "species": ["Pm", "Pm", "Pm", "Pm", "Pm", "Pm", "Pm", "Pm", "Se", "Se", "Se", "Se", "Cl", "Cl", "Cl", "Cl"],
  "fractional_positions": [[0.250, 0.250, 0.250], [0.250, 0.250, 0.750], [0.250, 0.750, 0.250], [0.250, 0.750, 0.750], [0.750, 0.250, 0.250], [0.750, 0.250, 0.750], [0.750, 0.750, 0.250], [0.750, 0.750, 0.750], [0.000, 0.000, 0.000], [0.000, 0.500, 0.500], [0.500, 0.000, 0.500], [0.500, 0.500, 0.000], [0.000, 0.000, 0.500], [0.000, 0.500, 0.000], [0.500, 0.000, 0.000], [0.500, 0.500, 0.500]]
}

=====

Arrangement 2

{
  "formula": "Pm2SeCl",
  "functional": "PBE-GGA",
  "state": "relaxed",
  "n_ef_per_ev_cell": 10.30,
  "volume_a3_per_cell": 308.0,
  "lattice_angstrom": [[3.918, 0.000, 0.000], [-1.959, 3.393, 0.000], [0.000, 0.000, 23.166]],
  "species": ["Pm", "Pm", "Pm", "Pm", "Pm", "Pm", "Se", "Se", "Se", "Cl", "Cl", "Cl"],
  "fractional_positions": [[0.000, 0.000, 0.000], [0.000, 0.000, 0.179], [0.333, 0.667, 0.667], [0.333, 0.667, 0.845], [0.667, 0.333, 0.333], [0.667, 0.333, 0.512], [0.000, 0.000, 0.588], [0.333, 0.667, 0.255], [0.667, 0.333, 0.922], [0.000, 0.000, 0.423], [0.333, 0.667, 0.089], [0.667, 0.333, 0.756]]
}

=====

Arrangement 3

{
  "formula": "Pm2SeCl",
  "functional": "PBE-GGA",
  "state": "relaxed",
  "n_ef_per_ev_cell": 2.54,
  "volume_a3_per_cell": 92.7,
  "lattice_angstrom": [[5.062, 0.000, 0.000], [0.000, 5.062, 0.000], [0.000, 0.000, 3.617]],
  "species": ["Pm", "Pm", "Se", "Cl"],
  "fractional_positions": [[0.000, 0.500, 0.000], [0.500, 0.000, 0.000], [0.000, 0.000, 0.500], [0.500, 0.500, 0.500]]
}

=====

arrangement 2 ends up most stable, edging out the next structure by 7.3 kJ/mol of atoms.